[1]
# ZnGaRh2

A relaxed structure of ZnGaRh2 (GGA-PBE, the Alexandria database).

abc: 6.046 6.046 6.046
angles: 90.00 90.00 90.00
Space group Fm-3m (No. 225)
Inequivalent atoms, fractional coordinates:
Zn 0.000 0.000 0.000 [4 per cell]
Ga 0.000 0.000 0.500 [4 per cell]
Rh 0.250 0.250 0.250 [8 per cell]

Values from the calculation:
- Formation enthalpy at 0 K: -0.617 eV/atom
- Raw total energy: -5.368 eV/atom
- D(E_F): 5.37 states/eV/cell
- Excess energy over the best structure of this formula in the dataset: 0.00 eV/f.u.

=====

[2]
# ZrRhNCl2

A relaxed structure of ZrRhNCl2 (GGA-PBE, the Alexandria database).

abc: 5.109 5.109 3.640
angles: 90.00 90.00 90.00
Space group P4/mmm (No. 123)
Inequivalent atoms, fractional coordinates:
Zr 0.000 0.000 0.000 [1 per cell]
Rh 0.500 0.500 0.500 [1 per cell]
N 0.500 0.500 0.000 [1 per cell]
Cl 0.000 0.500 0.500 [2 per cell]

Values from the calculation:
- ΔE_f (raw): 329 meV/atom
- Raw total energy: -5.255 eV/atom
- D(E_F): 6.31 states/eV/cell

=====

[3]
# Ce3GaAg

A relaxed structure of Ce3GaAg (GGA-PBE, the Alexandria database).

abc: 5.999 4.920 8.645
angles: 90.00 110.24 90.00
Space group P2_1/m (No. 11)
Inequivalent atoms, fractional coordinates:
Ce 0.012 0.250 0.317 [2 per cell]
Ce 0.265 0.750 0.478 [2 per cell]
Ce 0.421 0.250 0.072 [2 per cell]
Ga 0.334 0.250 0.698 [2 per cell]
Ag 0.125 0.750 0.089 [2 per cell]

Values from the calculation:
- Formation enthalpy at 0 K: -0.231 eV/atom
- Raw total energy: -4.967 eV/atom
- D(E_F): 25.63 states/eV/cell

=====

[4]
# La2PmTh3Te6

A relaxed structure of La2PmTh3Te6 (GGA-PBE, the Alexandria database).

abc: 19.830 4.532 8.948
angles: 90.00 105.59 90.00
Space group C2/m (No. 12)
Inequivalent atoms, fractional coordinates:
La 0.166 0.000 0.332 [4 per cell]
Pm 0.000 0.500 0.000 [2 per cell]
Th 0.000 0.500 0.500 [2 per cell]
Th 0.168 0.000 0.834 [4 per cell]
Te 0.002 0.000 0.753 [4 per cell]
Te 0.165 0.500 0.079 [4 per cell]
Te 0.166 0.500 0.585 [4 per cell]

Values from the calculation:
- ΔE_f (raw): -1260 meV/atom
- Raw total energy: -5.902 eV/atom
- D(E_F): 21.56 states/eV/cell

=====

[5]
# Cs2CuWI6

A relaxed structure of Cs2CuWI6 (GGA-PBE, the Alexandria database).

abc: 11.539 11.539 11.539
angles: 90.00 90.00 90.00
Space group Fm-3m (No. 225)
Inequivalent atoms, fractional coordinates:
Cs 0.250 0.250 0.250 [8 per cell]
Cu 0.000 0.000 0.000 [4 per cell]
W 0.000 0.000 0.500 [4 per cell]
I 0.000 0.000 0.254 [24 per cell]

Values from the calculation:
- ΔE_f (raw): -513 meV/atom
- Raw total energy: -3.319 eV/atom
- D(E_F): 3.25 states/eV/cell

=====

[6]
# CuBi2Cl

A relaxed structure of CuBi2Cl (GGA-PBE, the Alexandria database).

abc: 6.125 6.125 13.999
angles: 90.00 90.00 90.00
Space group I-42d (No. 122)
Inequivalent atoms, fractional coordinates:
Cu 0.000 0.000 0.000 [4 per cell]
Bi 0.186 0.250 0.125 [8 per cell]
Cl 0.000 0.000 0.500 [4 per cell]

Values from the calculation:
- ΔE_f (raw): 196 meV/atom
- Raw total energy: -3.230 eV/atom
- D(E_F): 12.89 states/eV/cell
- Excess energy over the best structure of this formula in the dataset: 0.28 eV/f.u.

=====

[7]
# Cd3Tc

A relaxed structure of Cd3Tc (GGA-PBE, the Alexandria database).

abc: 4.224 4.224 4.224
angles: 90.00 90.00 90.00
Space group Pm-3m (No. 221)
Inequivalent atoms, fractional coordinates:
Cd 0.000 0.000 0.500 [3 per cell]
Tc 0.500 0.500 0.500 [1 per cell]

Values from the calculation:
- Formation enthalpy at 0 K: 0.284 eV/atom
- Raw total energy: -2.994 eV/atom
- D(E_F): 1.65 states/eV/cell
- Excess energy over the best structure of this formula in the dataset: 0.12 eV/f.u.

=====

[8]
# U3PaN7

A relaxed structure of U3PaN7 (GGA-PBE, the Alexandria database).

abc: 7.636 10.680 7.417
angles: 90.00 90.00 90.00
Space group Cmcm (No. 63)
Inequivalent atoms, fractional coordinates:
U 0.000 0.000 0.000 [4 per cell]
U 0.235 0.257 0.250 [8 per cell]
Pa 0.000 0.500 0.000 [4 per cell]
N 0.000 0.131 0.250 [4 per cell]
N 0.000 0.134 0.750 [4 per cell]
N 0.000 0.386 0.250 [4 per cell]
N 0.236 0.373 0.519 [16 per cell]

Values from the calculation:
- ΔE_f (raw): -1442 meV/atom
- Raw total energy: -10.682 eV/atom
- D(E_F): 37.27 states/eV/cell